(1)
A relaxed LaScBe2 crystal. Source: Alexandria via LeMat-Bulk, functional GGA-PBE.

Output
Final energy ... -4.024 eV/atom

Geometry as CIF:
```
data_LaScBe2
_chemical_formula_sum 'La4 Sc4 Be8'
_cell_length_a 7.5749
_cell_length_b 7.5749
_cell_length_c 5.8982
_cell_angle_alpha 90.00
_cell_angle_beta 90.00
_cell_angle_gamma 90.00
_symmetry_space_group_name_H-M 'I -4 2 d'
_symmetry_Int_Tables_number 122
_symmetry_space_group_name_Hall 'I -4 2bw'
loop_
_atom_site_label
_atom_site_fract_x
_atom_site_fract_y
_atom_site_fract_z
La1 0.0000 0.0000 0.0000
Sc1 0.0000 0.0000 0.5000
Be1 0.2133 0.2500 0.6250
```

***

(2)
A relaxed La2ScBe crystal. Source: Alexandria via LeMat-Bulk, functional GGA-PBE.

Output
Final energy ... -4.636 eV/atom

Geometry as CIF:
```
data_La2ScBe
_chemical_formula_sum 'La6 Sc3 Be3'
_cell_length_a 3.6446
_cell_length_b 3.6446
_cell_length_c 29.4810
_cell_angle_alpha 90.00
_cell_angle_beta 90.00
_cell_angle_gamma 120.00
_symmetry_space_group_name_H-M 'R -3 m'
_symmetry_Int_Tables_number 166
_symmetry_space_group_name_Hall '-R 3 2"'
loop_
_atom_site_label
_atom_site_fract_x
_atom_site_fract_y
_atom_site_fract_z
La1 0.0000 0.0000 0.2384
Sc1 0.0000 0.0000 0.0000
Be1 0.0000 0.0000 0.5000
```

***

(3)
A relaxed LaScBe17 crystal. Source: Alexandria via LeMat-Bulk, functional GGA-PBE.

Output
Final energy ... -4.002 eV/atom

Geometry as CIF:
```
data_LaScBe17
_chemical_formula_sum 'La3 Sc3 Be51'
_cell_length_a 7.7561
_cell_length_b 7.7561
_cell_length_c 11.2826
_cell_angle_alpha 90.00
_cell_angle_beta 90.00
_cell_angle_gamma 120.00
_symmetry_space_group_name_H-M 'R 3 m'
_symmetry_Int_Tables_number 160
_symmetry_space_group_name_Hall 'R 3 -2"'
loop_
_atom_site_label
_atom_site_fract_x
_atom_site_fract_y
_atom_site_fract_z
La1 0.0000 0.0000 0.0000
Sc1 0.0000 0.0000 0.6794
Be1 0.0000 0.0000 0.2497
Be2 0.0000 0.0000 0.4402
Be3 0.0030 0.2798 0.3430
Be4 0.0101 0.5051 0.1800
Be5 0.1683 0.3366 0.1781
Be6 0.1684 0.3368 0.8350
```

***

(4)
A relaxed LaScBe crystal. Source: Alexandria via LeMat-Bulk, functional GGA-PBE.

Output
Final energy ... -4.865 eV/atom

Geometry as CIF:
```
data_LaScBe
_chemical_formula_sum 'La2 Sc2 Be2'
_cell_length_a 3.4602
_cell_length_b 3.4602
_cell_length_c 11.6984
_cell_angle_alpha 90.00
_cell_angle_beta 90.00
_cell_angle_gamma 90.00
_symmetry_space_group_name_H-M 'I 4 m m'
_symmetry_Int_Tables_number 107
_symmetry_space_group_name_Hall 'I 4 -2'
loop_
_atom_site_label
_atom_site_fract_x
_atom_site_fract_y
_atom_site_fract_z
La1 0.0000 0.0000 0.0000
Sc1 0.0000 0.0000 0.7298
Be1 0.0000 0.0000 0.3307
```

***

(5)
A relaxed LaScBe crystal. Source: Alexandria via LeMat-Bulk, functional GGA-PBE.

Output
Final energy ... -4.733 eV/atom

Geometry as CIF:
```
data_LaScBe
_chemical_formula_sum 'La1 Sc1 Be1'
_cell_length_a 4.7263
_cell_length_b 4.7263
_cell_length_c 3.7249
_cell_angle_alpha 90.00
_cell_angle_beta 90.00
_cell_angle_gamma 120.00
_symmetry_space_group_name_H-M 'P 3 m 1'
_symmetry_Int_Tables_number 156
_symmetry_space_group_name_Hall 'P 3 -2"'
loop_
_atom_site_label
_atom_site_fract_x
_atom_site_fract_y
_atom_site_fract_z
La1 0.0000 0.0000 0.0000
Sc1 0.3333 0.6667 0.5014
Be1 0.6667 0.3333 0.4941
```

***

(6)
A relaxed La2ScBe crystal. Source: Alexandria via LeMat-Bulk, functional GGA-PBE.

Output
Final energy ... -4.886 eV/atom

Geometry as CIF:
```
data_La2ScBe
_chemical_formula_sum 'La2 Sc1 Be1'
_cell_length_a 3.4544
_cell_length_b 3.4544
_cell_length_c 8.7680
_cell_angle_alpha 90.00
_cell_angle_beta 90.00
_cell_angle_gamma 90.00
_symmetry_space_group_name_H-M 'P 4 m m'
_symmetry_Int_Tables_number 99
_symmetry_space_group_name_Hall 'P 4 -2'
loop_
_atom_site_label
_atom_site_fract_x
_atom_site_fract_y
_atom_site_fract_z
La1 0.0000 0.0000 0.0000
La2 0.5000 0.5000 0.3451
Sc1 0.0000 0.0000 0.6341
Be1 0.5000 0.5000 0.7766
```

***

(7)
A relaxed La2ScBe crystal. Source: Alexandria via LeMat-Bulk, functional GGA-PBE.

Output
Final energy ... -4.595 eV/atom

Geometry as CIF:
```
data_La2ScBe
_chemical_formula_sum 'La2 Sc1 Be1'
_cell_length_a 3.6102
_cell_length_b 5.3001
_cell_length_c 5.3820
_cell_angle_alpha 90.00
_cell_angle_beta 90.00
_cell_angle_gamma 90.00
_symmetry_space_group_name_H-M 'P m m m'
_symmetry_Int_Tables_number 47
_symmetry_space_group_name_Hall '-P 2 2'
loop_
_atom_site_label
_atom_site_fract_x
_atom_site_fract_y
_atom_site_fract_z
La1 0.0000 0.0000 0.0000
La2 0.5000 0.5000 0.0000
Sc1 0.0000 0.5000 0.5000
Be1 0.5000 0.0000 0.5000
```

***

(8)
A relaxed LaScBe2 crystal. Source: Alexandria via LeMat-Bulk, functional GGA-PBE.

Output
Final energy ... -4.490 eV/atom

Geometry as CIF:
```
data_LaScBe2
_chemical_formula_sum 'La3 Sc3 Be6'
_cell_length_a 4.3168
_cell_length_b 4.3168
_cell_length_c 16.0189
_cell_angle_alpha 90.00
_cell_angle_beta 90.00
_cell_angle_gamma 120.00
_symmetry_space_group_name_H-M 'R -3 m'
_symmetry_Int_Tables_number 166
_symmetry_space_group_name_Hall '-R 3 2"'
loop_
_atom_site_label
_atom_site_fract_x
_atom_site_fract_y
_atom_site_fract_z
La1 0.0000 0.0000 0.0000
Sc1 0.0000 0.0000 0.5000
Be1 0.0000 0.0000 0.1907
```

***

(9)
A relaxed La4ScBe crystal. Source: Alexandria via LeMat-Bulk, functional GGA-PBE.

Output
Final energy ... -4.294 eV/atom

Geometry as CIF:
```
data_La4ScBe
_chemical_formula_sum 'La16 Sc4 Be4'
_cell_length_a 9.1633
_cell_length_b 9.1633
_cell_length_c 9.1633
_cell_angle_alpha 90.00
_cell_angle_beta 90.00
_cell_angle_gamma 90.00
_symmetry_space_group_name_H-M 'F -4 3 m'
_symmetry_Int_Tables_number 216
_symmetry_space_group_name_Hall 'F -4 2 3'
loop_
_atom_site_label
_atom_site_fract_x
_atom_site_fract_y
_atom_site_fract_z
La1 0.1244 0.1244 0.3756
Sc1 0.0000 0.0000 0.0000
Be1 0.2500 0.2500 0.7500
```

***

(10)
A relaxed LaScBe2 crystal. Source: Alexandria via LeMat-Bulk, functional GGA-PBE.

Output
Final energy ... -4.151 eV/atom

Geometry as CIF:
```
data_LaScBe2
_chemical_formula_sum 'La4 Sc4 Be8'
_cell_length_a 6.6694
_cell_length_b 6.6694
_cell_length_c 6.6694
_cell_angle_alpha 90.00
_cell_angle_beta 90.00
_cell_angle_gamma 90.00
_symmetry_space_group_name_H-M 'F -4 3 m'
_symmetry_Int_Tables_number 216
_symmetry_space_group_name_Hall 'F -4 2 3'
loop_
_atom_site_label
_atom_site_fract_x
_atom_site_fract_y
_atom_site_fract_z
La1 0.0000 0.0000 0.0000
Sc1 0.2500 0.2500 0.2500
Be1 0.0000 0.0000 0.5000
Be2 0.2500 0.2500 0.7500
```

***

(11)
A relaxed LaScBeZn crystal. Source: Alexandria via LeMat-Bulk, functional GGA-PBE.

Output
Final energy ... -4.100 eV/atom

Geometry as CIF:
```
data_LaScBeZn
_chemical_formula_sum 'La4 Sc4 Be4 Zn4'
_cell_length_a 7.0069
_cell_length_b 7.0069
_cell_length_c 7.0069
_cell_angle_alpha 90.00
_cell_angle_beta 90.00
_cell_angle_gamma 90.00
_symmetry_space_group_name_H-M 'F -4 3 m'
_symmetry_Int_Tables_number 216
_symmetry_space_group_name_Hall 'F -4 2 3'
loop_
_atom_site_label
_atom_site_fract_x
_atom_site_fract_y
_atom_site_fract_z
La1 0.0000 0.0000 0.0000
Sc1 0.0000 0.0000 0.5000
Be1 0.2500 0.2500 0.2500
Zn1 0.2500 0.2500 0.7500
```

***

(12)
A relaxed La3BeSe6 crystal. Source: Alexandria via LeMat-Bulk, functional GGA-PBE.

Output
Formation energy without anion corrections ... -1.610 eV per atom

Geometry as CIF:
```
data_La3BeSe6
_chemical_formula_sum 'La12 Be4 Se24'
_cell_length_a 12.0490
_cell_length_b 14.9431
_cell_length_c 6.3820
_cell_angle_alpha 90.00
_cell_angle_beta 90.00
_cell_angle_gamma 90.00
_symmetry_space_group_name_H-M 'C m c 21'
_symmetry_Int_Tables_number 36
_symmetry_space_group_name_Hall 'C 2c -2'
loop_
_atom_site_label
_atom_site_fract_x
_atom_site_fract_y
_atom_site_fract_z
La1 0.0000 0.1248 0.0000
La2 0.1736 0.3902 0.0746
Be1 0.0000 0.3055 0.6368
Se1 0.0000 0.2832 0.2897
Se2 0.0000 0.4496 0.7504
Se3 0.1564 0.2420 0.7655
Se4 0.1588 0.0115 0.2951
```